[1]
Here is a geometry-optimized Na2AgP2 structure from Alexandria. Energies are from PBE-GGA.

```
Na2AgP2
1.0
4.255 0.000 0.000
0.000 4.255 0.000
2.128 2.128 5.837
Ag Na P
1 2 2
Direct
0.000 0.000 0.000 Ag
0.250 0.750 0.500 Na
0.750 0.250 0.500 Na
0.590 0.590 0.820 P
0.410 0.410 0.180 P
```

The energy above the most stable polymorph in this dataset comes out at 395 meV per atom. The formation energy comes out at 63 kJ/mol of formula units. Its crystal system is tetragonal. The calculation puts the total energy at -15.66 eV/cell. Its space-group type is I4/mmm.

[2]
Here is a geometry-optimized NaAg2PPd structure from Alexandria. Energies are from PBE-GGA.

```
NaAg2PPd
1.0
4.799 0.000 0.000
0.000 4.799 0.000
0.000 0.000 4.620
Na Ag P Pd
1 2 1 1
Direct
0.500 0.500 0.500 Na
0.000 0.500 0.000 Ag
0.500 0.000 0.000 Ag
0.000 0.000 0.000 P
0.000 0.000 0.500 Pd
```

The formation energy comes out at -66 kJ/mol of formula units. Its crystal system is tetragonal. The calculation puts the total energy at -18.30 eV/cell. Its space-group type is P4/mmm.

[3]
Here is a geometry-optimized NaAgPPd2 structure from Alexandria. Energies are from PBE-GGA.

```
NaAgPPd2
1.0
4.578 0.000 0.000
0.000 4.578 0.000
0.000 0.000 4.774
Pd Ag P Na
2 1 1 1
Direct
0.000 0.500 0.000 Pd
0.500 0.000 0.000 Pd
0.000 0.000 0.500 Ag
0.000 0.000 0.000 P
0.500 0.500 0.500 Na
```

The formation energy comes out at -112 kJ/mol of formula units. Its crystal system is tetragonal. The calculation puts the total energy at -21.13 eV/cell. Its space-group type is P4/mmm.

[4]
Here is a geometry-optimized NaPmAgP structure from Alexandria. Energies are from PBE-GGA.

```
NaPmAgP
1.0
5.018 0.000 0.000
2.509 4.346 0.000
2.509 1.449 4.097
Ag Pm P Na
1 1 1 1
Direct
0.250 0.250 0.250 Ag
0.000 0.000 0.000 Pm
0.750 0.750 0.750 P
0.500 0.500 0.500 Na
```

The formation energy comes out at -174 kJ/mol of formula units. Its crystal system is cubic. The calculation puts the total energy at -16.13 eV/cell. Its space-group type is F-43m.

[5]
Here is a geometry-optimized Na2AgP3Pt12 structure from Alexandria. Energies are from PBE-GGA.

```
Na2AgP3Pt12
1.0
-4.540 -1.212 -4.883
4.194 -0.714 -5.275
0.375 -6.763 -0.223
Pt Na P Ag
12 2 3 1
Direct
0.090 0.652 0.652 Pt
0.641 0.179 0.179 Pt
0.348 0.910 0.348 Pt
0.348 0.348 0.910 Pt
0.179 0.179 0.641 Pt
0.652 0.090 0.652 Pt
0.359 0.821 0.821 Pt
0.652 0.652 0.090 Pt
0.821 0.359 0.821 Pt
0.821 0.821 0.359 Pt
0.179 0.641 0.179 Pt
0.910 0.348 0.348 Pt
0.414 0.414 0.414 Na
0.586 0.586 0.586 Na
0.500 0.000 0.000 P
0.000 0.500 0.000 P
0.000 0.000 0.500 P
0.000 0.000 0.000 Ag
```

The formation energy comes out at -227 kJ/mol of formula units. Its crystal system is trigonal. The calculation puts the total energy at -96.56 eV/cell. Its space-group type is R-3m.

[6]
Here is a geometry-optimized RbNa2AgP structure from Alexandria. Energies are from PBE-GGA.

```
RbNa2AgP
1.0
5.619 0.000 0.000
0.000 5.619 0.000
0.000 0.000 5.021
P Rb Na Ag
1 1 2 1
Direct
0.000 0.000 0.000 P
0.500 0.500 0.500 Rb
0.500 0.000 0.000 Na
0.000 0.500 0.000 Na
0.000 0.000 0.500 Ag
```

The formation energy comes out at -43 kJ/mol of formula units. Its crystal system is tetragonal. The calculation puts the total energy at -12.32 eV/cell. Its space-group type is P4/mmm.

[7]
Here is a geometry-optimized NaAgPRh structure from Alexandria. Energies are from PBE-GGA.

```
NaAgPRh
1.0
-0.569 0.798 3.791
-2.908 -2.619 0.115
6.833 -7.473 2.598
Ag P Na Rh
2 2 2 2
Direct
0.250 0.750 0.500 Ag
0.750 0.250 0.500 Ag
0.750 0.750 0.875 P
0.250 0.250 0.125 P
0.250 0.250 0.740 Na
0.750 0.750 0.260 Na
0.250 0.750 0.000 Rh
0.750 0.250 0.000 Rh
```

The formation energy comes out at -151 kJ/mol of formula units. Its crystal system is tetragonal. The calculation puts the total energy at -36.98 eV/cell. Its space-group type is P4/nmm.

[8]
Here is a geometry-optimized NaAgPRu structure from Alexandria. Energies are from PBE-GGA.

```
NaAgPRu
1.0
3.959 0.000 0.000
0.000 3.959 0.000
0.000 0.000 10.432
P Na Ag Ru
2 2 2 2
Direct
0.250 0.250 0.117 P
0.750 0.750 0.883 P
0.750 0.750 0.252 Na
0.250 0.250 0.748 Na
0.750 0.250 0.500 Ag
0.250 0.750 0.500 Ag
0.250 0.750 0.000 Ru
0.750 0.250 0.000 Ru
```

The formation energy comes out at -128 kJ/mol of formula units. Its crystal system is tetragonal. The calculation puts the total energy at -40.37 eV/cell. Its space-group type is P4/nmm.

[9]
Here is a geometry-optimized NaAg2PS4 structure from Alexandria. Energies are from PBE-GGA.

```
NaAg2PS4
1.0
-3.835 -4.046 -2.541
0.875 -1.508 -6.306
0.034 -6.121 2.309
Na Ag S P
1 2 4 1
Direct
0.000 0.000 0.000 Na
0.500 0.251 0.749 Ag
0.500 0.749 0.251 Ag
0.000 0.816 0.579 S
0.395 0.184 0.421 S
0.605 0.579 0.816 S
0.000 0.421 0.184 S
0.000 0.500 0.500 P
```

For the formation energy without anion corrections, the calculation gives -3.369 eV per formula unit. Its crystal system is tetragonal. The calculation puts the total energy at -32.31 eV/cell. Its space-group type is I-42m.

[10]
Here is a geometry-optimized NaAgP2S structure from Alexandria. Energies are from PBE-GGA.

```
NaAgP2S
1.0
-2.006 1.147 4.246
3.027 -3.025 2.247
3.396 3.824 0.572
Ag Na S P
1 1 1 2
Direct
0.000 0.000 0.000 Ag
0.500 0.500 0.500 Na
0.000 0.000 0.500 S
0.000 0.500 0.000 P
0.500 0.000 0.000 P
```

The energy above the most stable polymorph in this dataset comes out at 0 meV per atom. For the formation energy without anion corrections, the calculation gives 3.260 eV per formula unit. Its crystal system is tetragonal. The calculation puts the total energy at -15.86 eV/cell. Its space-group type is P4/mmm.

[11]
Here is a geometry-optimized NaAgP2S structure from Alexandria. Energies are from PBE-GGA.

```
NaAgP2S
1.0
4.873 0.000 0.000
0.000 4.873 0.000
0.000 0.000 4.869
Na Ag P S
1 1 2 1
Direct
0.000 0.000 0.000 Na
0.500 0.500 0.500 Ag
0.500 0.000 0.000 P
0.000 0.500 0.000 P
0.000 0.000 0.500 S
```

The energy above the most stable polymorph in this dataset comes out at 642 meV per atom. For the formation energy without anion corrections, the calculation gives 6.470 eV per formula unit. Its crystal system is tetragonal. The calculation puts the total energy at -12.65 eV/cell. Its space-group type is P4/mmm.

[12]
Here is a geometry-optimized Na2AgPS4 structure from Alexandria. Energies are from PBE-GGA.

```
Na2AgPS4
1.0
-6.274 -2.578 0.891
1.695 -5.601 -4.273
2.501 -3.952 6.173
S Na P Ag
8 4 2 2
Direct
0.423 0.647 0.714 S
0.341 0.048 0.500 S
0.841 0.952 0.000 S
0.791 0.861 0.500 S
0.923 0.353 0.786 S
0.291 0.139 0.000 S
0.923 0.353 0.214 S
0.423 0.647 0.286 S
0.529 0.268 0.258 Na
0.029 0.732 0.242 Na
0.029 0.732 0.758 Na
0.529 0.268 0.742 Na
0.996 0.194 0.000 P
0.496 0.806 0.500 P
0.467 0.819 0.000 Ag
0.967 0.181 0.500 Ag
```

For the formation energy without anion corrections, the calculation gives -4.962 eV per formula unit. Its crystal system is orthorhombic. The calculation puts the total energy at -64.74 eV/cell. Its space-group type is Pmn2_1.

[13]
Here is a geometry-optimized Na2AgPSe4 structure from Alexandria. Energies are from PBE-GGA.

```
Na2AgPSe4
1.0
7.456 0.012 0.001
0.010 7.455 0.006
-3.736 -3.736 3.785
Na Ag P Se
2 1 1 4
Direct
0.235 0.235 0.469 Na
0.491 0.991 0.983 Na
0.987 0.487 0.974 Ag
0.735 0.735 0.470 P
0.063 0.090 0.803 Se
0.378 0.729 0.134 Se
0.757 0.406 0.136 Se
0.740 0.714 0.804 Se
```

For the formation energy without anion corrections, the calculation gives -4.198 eV per formula unit. Its crystal system is triclinic. The calculation puts the total energy at -29.04 eV/cell. Its space-group type is P1.

[14]
Here is a geometry-optimized NaSiAgP2 structure from Alexandria. Energies are from PBE-GGA.

```
NaSiAgP2
1.0
-4.361 2.060 -0.595
-1.829 -4.294 -1.462
-1.138 -1.081 4.600
Si P Na Ag
1 2 1 1
Direct
0.000 0.500 0.000 Si
0.500 0.000 0.000 P
0.000 0.000 0.500 P
0.000 0.000 0.000 Na
0.500 0.500 0.500 Ag
```

For the formation energy without anion corrections, the calculation gives 7.201 eV per formula unit. Its crystal system is tetragonal. The calculation puts the total energy at -13.21 eV/cell. Its space-group type is P4/mmm.

[15]
Here is a geometry-optimized Na2ZnAgP2 structure from Alexandria. Energies are from PBE-GGA.

```
Na2ZnAgP2
1.0
-0.243 -5.793 0.079
5.088 -0.251 -2.752
0.920 2.967 7.520
Na P Ag Zn
4 4 2 2
Direct
0.057 0.322 0.644 Na
0.412 0.178 0.356 Na
0.943 0.678 0.356 Na
0.588 0.822 0.644 Na
0.617 0.390 0.779 P
0.163 0.890 0.779 P
0.383 0.610 0.221 P
0.837 0.110 0.221 P
0.000 0.750 0.000 Ag
0.000 0.250 0.000 Ag
0.500 0.250 0.000 Zn
0.500 0.750 0.000 Zn
```

The formation energy comes out at -147 kJ/mol of formula units. Its crystal system is orthorhombic. The calculation puts the total energy at -38.21 eV/cell. Its space-group type is Ibam.

[16]
Here is a geometry-optimized Na2ZnAgP structure from Alexandria. Energies are from PBE-GGA.

```
Na2ZnAgP
1.0
-0.192 4.555 -3.407
-4.228 -1.070 -1.193
-2.009 3.135 4.305
Ag Na Zn P
1 2 1 1
Direct
0.000 0.000 0.000 Ag
0.500 0.000 0.000 Na
0.000 0.000 0.500 Na
0.500 0.500 0.500 Zn
0.000 0.500 0.000 P
```

The formation energy comes out at 96 kJ/mol of formula units. Its crystal system is tetragonal. The calculation puts the total energy at -11.18 eV/cell. Its space-group type is P4/mmm.

[17]
Here is a geometry-optimized Na2PaAg2S4 structure from Alexandria. Energies are from PBE-GGA.

```
Na2PaAg2S4
1.0
-1.714 -3.564 -0.799
6.863 -2.931 -1.653
-1.627 1.379 7.528
S Pa Na Ag
4 1 2 2
Direct
0.207 0.210 0.414 S
0.486 0.741 0.972 S
0.514 0.259 0.028 S
0.793 0.790 0.586 S
0.000 0.000 0.000 Pa
0.151 0.550 0.303 Na
0.849 0.450 0.697 Na
0.673 0.955 0.346 Ag
0.327 0.045 0.654 Ag
```

For the formation energy without anion corrections, the calculation gives -8.690 eV per formula unit. Its crystal system is monoclinic. The calculation puts the total energy at -43.04 eV/cell. Its space-group type is C2/m.

[18]
Here is a geometry-optimized Na4Pa3AgS8 structure from Alexandria. Energies are from PBE-GGA.

```
Na4Pa3AgS8
1.0
7.939 0.000 0.000
0.000 8.158 0.144
-3.969 -3.966 5.620
Na S Pa Ag
4 8 3 1
Direct
0.000 0.000 0.500 Na
0.000 0.000 0.000 Na
0.500 0.000 0.500 Na
0.500 0.000 0.000 Na
0.267 0.269 0.018 S
0.249 0.731 0.498 S
0.257 0.270 0.513 S
0.249 0.731 0.982 S
0.751 0.269 0.502 S
0.733 0.731 0.982 S
0.751 0.269 0.018 S
0.743 0.730 0.487 S
0.000 0.500 0.500 Pa
0.500 0.500 0.000 Pa
0.500 0.500 0.500 Pa
0.000 0.500 0.000 Ag
```

For the formation energy without anion corrections, the calculation gives -21.153 eV per formula unit. Its crystal system is trigonal. The calculation puts the total energy at -90.79 eV/cell. Its space-group type is R-3m.

[19]
Here is a geometry-optimized Na3Pa3AgS8 structure from Alexandria. Energies are from PBE-GGA.

```
Na3Pa3AgS8
1.0
-7.125 -3.436 -0.829
5.315 -0.394 -5.896
1.271 -4.274 6.789
S Na Pa Ag
8 3 3 1
Direct
0.751 0.502 0.275 S
0.750 0.024 0.274 S
0.744 0.488 0.732 S
0.249 0.498 0.725 S
0.273 0.024 0.274 S
0.250 0.976 0.726 S
0.256 0.512 0.268 S
0.727 0.976 0.726 S
0.000 0.000 0.000 Na
0.000 0.500 0.000 Na
0.500 0.500 0.000 Na
0.000 0.500 0.500 Pa
0.500 0.500 0.500 Pa
0.500 0.000 0.500 Pa
0.000 0.000 0.500 Ag
```

For the formation energy without anion corrections, the calculation gives -19.748 eV per formula unit. Its crystal system is trigonal. The calculation puts the total energy at -88.06 eV/cell. Its space-group type is R-3m.

[20]
Here is a geometry-optimized Na2PaAg2Se4 structure from Alexandria. Energies are from PBE-GGA.

```
Na2PaAg2Se4
1.0
-2.506 3.211 -0.982
1.218 -1.361 -7.563
-4.710 -5.285 3.679
Ag Pa Na Se
2 1 2 4
Direct
0.321 0.022 0.641 Ag
0.679 0.978 0.359 Ag
0.000 0.000 0.000 Pa
0.859 0.437 0.717 Na
0.141 0.563 0.283 Na
0.494 0.738 0.988 Se
0.208 0.224 0.415 Se
0.792 0.776 0.585 Se
0.506 0.262 0.012 Se
```

For the formation energy without anion corrections, the calculation gives -8.116 eV per formula unit. Its crystal system is monoclinic. The calculation puts the total energy at -39.89 eV/cell. Its space-group type is C2/m.

[21]
Here is a geometry-optimized NaPa2AgSe8 structure from Alexandria. Energies are from PBE-GGA.

```
NaPa2AgSe8
1.0
6.347 0.000 0.000
-3.174 5.497 0.000
0.000 0.000 8.799
Se Na Ag Pa
8 1 1 2
Direct
0.667 0.333 0.410 Se
0.364 0.182 0.819 Se
0.636 0.818 0.181 Se
0.818 0.182 0.819 Se
0.182 0.818 0.181 Se
0.333 0.667 0.590 Se
0.182 0.364 0.181 Se
0.818 0.636 0.819 Se
0.000 0.000 0.500 Na
0.000 0.000 0.000 Ag
0.333 0.667 0.882 Pa
0.667 0.333 0.118 Pa
```

For the formation energy without anion corrections, the calculation gives -7.721 eV per formula unit. Its crystal system is trigonal. The calculation puts the total energy at -58.76 eV/cell. Its space-group type is P-3m1.

[22]
Here is a geometry-optimized Na3PaAg2Se6 structure from Alexandria. Energies are from PBE-GGA.

```
Na3PaAg2Se6
1.0
6.980 -0.145 0.006
-3.614 5.974 0.006
-1.117 -1.933 7.160
Pa Na Se Ag
1 3 6 2
Direct
0.000 0.000 0.000 Pa
0.826 0.174 0.500 Na
0.500 0.500 0.500 Na
0.174 0.826 0.500 Na
0.242 0.242 0.761 Se
0.412 0.087 0.223 Se
0.087 0.412 0.223 Se
0.913 0.588 0.777 Se
0.588 0.913 0.777 Se
0.758 0.758 0.239 Se
0.341 0.659 0.000 Ag
0.659 0.341 0.000 Ag
```

For the formation energy without anion corrections, the calculation gives -9.937 eV per formula unit. Its crystal system is monoclinic. The calculation puts the total energy at -50.00 eV/cell. Its space-group type is C2/m.

[23]
Here is a geometry-optimized NaPaAgSn structure from Alexandria. Energies are from PBE-GGA.

```
NaPaAgSn
1.0
5.192 0.000 0.000
2.596 4.496 0.000
2.596 1.499 4.239
Sn Pa Ag Na
1 1 1 1
Direct
0.000 0.000 0.000 Sn
0.750 0.750 0.750 Pa
0.500 0.500 0.500 Ag
0.250 0.250 0.250 Na
```

The formation energy comes out at 36 kJ/mol of formula units. Its crystal system is cubic. The calculation puts the total energy at -17.29 eV/cell. Its space-group type is F-43m.

[24]
Here is a geometry-optimized Na2PaAg2Te4 structure from Alexandria. Energies are from PBE-GGA.

```
Na2PaAg2Te4
1.0
-1.978 -1.324 -3.715
3.827 -7.289 0.561
-6.145 1.035 5.522
Na Te Pa Ag
2 4 1 2
Direct
0.868 0.417 0.736 Na
0.132 0.583 0.264 Na
0.500 0.735 0.999 Te
0.500 0.265 0.001 Te
0.790 0.771 0.580 Te
0.210 0.229 0.420 Te
0.000 0.000 0.000 Pa
0.316 0.010 0.633 Ag
0.684 0.990 0.367 Ag
```

For the formation energy without anion corrections, the calculation gives -5.957 eV per formula unit. Its crystal system is monoclinic. The calculation puts the total energy at -36.36 eV/cell. Its space-group type is C2/m.

no.,V (Å³ per atom)
1,21.1
2,21.3
3,20.0
4,22.3
5,16.6
6,31.7
7,20.0
8,20.4
9,23.0
10,24.0
11,23.1
12,24.0
13,26.3
14,23.1
15,19.7
16,29.3
17,22.7
18,23.0
19,24.5
20,25.0
21,25.6
22,24.6
23,24.7
24,29.4